Compound: GdMgIrPd
Source: the Alexandria database
Functional: PBE
Structure: optimized geometry

## Properties
Energy in eV/cell: -129.43
Calculated formation energy in meV/atom: -657
Total magnetization in μB/cell: 28.25

abc: 6.7011 6.7011 6.7011
angles: 90.00 90.00 90.00
With the nearest neighbours (Å) after each atom.
Space group F-43m (No. 216)
Unique sites:
Gd 0.0000 0.0000 0.0000  4 Ir 2.90, 4 Pd 2.90
Mg 0.0000 0.0000 0.5000  4 Pd 2.90, 4 Ir 2.90
Ir 0.2500 0.2500 0.7500  4 Gd 2.90, 4 Mg 2.90
Pd 0.2500 0.2500 0.2500  4 Gd 2.90, 4 Mg 2.90